The following is a DFT calculation (PBE) of SnRh after structural relaxation.

Unit cell a=7.815 b=7.821 c=12.079 alpha=90.00 beta=90.00 gamma=90.00
Space group Fddd (No. 70, origin choice 2)
One atom of each set of equivalent atoms:
Sn (0.125, 0.329, 0.125)
Rh (0.125, 0.125, 0.512)

Values from the calculation:
The value obtained for the energy relative to the elements is -7 meV/atom. As for the density of states at the Fermi level: 0.548 states/eV per atom.

---

The following is a DFT calculation (PBE) of SnRh after structural relaxation.

Unit cell a=4.872 b=10.831 c=4.669 alpha=90.00 beta=90.00 gamma=90.00
Space group Pmmn (No. 59, origin choice 2)
One atom of each set of equivalent atoms:
Sn (0.250, 0.101, 0.162)
Sn (0.250, 0.750, 0.492)
Rh (0.250, 0.250, 0.703)
Rh (0.250, 0.518, 0.667)

Values from the calculation:
The value obtained for the energy relative to the elements is -209 meV/atom. As for the density of states at the Fermi level: 0.586 states/eV per atom.

---

The following is a DFT calculation (PBE) of SnRh4 after structural relaxation.

Unit cell a=4.231 b=5.488 c=13.363 alpha=90.00 beta=90.00 gamma=90.00
Space group Imma (No. 74)
One atom of each set of equivalent atoms:
Sn (0.000, 0.250, 0.105)
Rh (0.000, 0.000, 0.500)
Rh (0.000, 0.008, 0.697)
Rh (0.000, 0.250, 0.897)

Values from the calculation:
The value obtained for the energy relative to the elements is -107 meV/atom. As for the density of states at the Fermi level: 1.389 states/eV per atom.